#w
Here is crystalline CsHfTl3 at its relaxed geometry from the Alexandria database. Energies are from PBE.

Values from the calculation:
crystal system = cubic

a b c (Å): 6.215 6.215 6.215
angles (deg): 90.00 90.00 90.00
Space group Pm-3m (No. 221)
Asymmetric unit:
Cs1 0.000 0.000 0.000 x1
Hf1 0.500 0.500 0.500 x1
Tl1 0.000 0.000 0.500 x3

---

#x
Here is crystalline CsHfTl3 at its relaxed geometry from the Alexandria database. Energies are from PBE.

Values from the calculation:
crystal system = cubic

a b c (Å): 5.800 5.800 5.800
angles (deg): 90.00 90.00 90.00
Space group Pm-3m (No. 221)
Asymmetric unit:
Cs1 0.000 0.000 0.000 x1
Hf1 0.500 0.500 0.500 x1
Tl1 0.000 0.500 0.500 x3

---

Bottom line: #x, by a margin of 1378 meV per atom.

---

#w
Here is crystalline CsHf3Tl at its relaxed geometry from the Alexandria database. Energies are from PBE.

Values from the calculation:
crystal system = cubic

a b c (Å): 5.528 5.528 5.528
angles (deg): 90.00 90.00 90.00
Space group Pm-3m (No. 221)
Asymmetric unit:
Cs1 0.000 0.000 0.000 x1
Hf1 0.000 0.500 0.500 x3
Tl1 0.500 0.500 0.500 x1

---

#x
Here is crystalline CsHf3Tl at its relaxed geometry from the Alexandria database. Energies are from PBE.

Values from the calculation:
crystal system = cubic

a b c (Å): 5.297 5.297 5.297
angles (deg): 90.00 90.00 90.00
Space group Pm-3m (No. 221)
Asymmetric unit:
Cs1 0.000 0.000 0.000 x1
Hf1 0.000 0.000 0.500 x3
Tl1 0.500 0.500 0.500 x1

---

Bottom line: #w, by a margin of 636 meV per atom.

---

#w
Here is crystalline CsHf2Tl at its relaxed geometry from the Alexandria database. Energies are from PBE.

Values from the calculation:
crystal system = tetragonal

a b c (Å): 5.037 5.037 21.808
angles (deg): 90.00 90.00 90.00
Space group I-42d (No. 122)
Asymmetric unit:
Cs1 0.000 0.000 0.000 x4
Hf1 0.126 0.250 0.625 x8
Tl1 0.000 0.000 0.500 x4

---

#x
Here is crystalline CsHf2Tl at its relaxed geometry from the Alexandria database. Energies are from PBE.

Values from the calculation:
crystal system = cubic

a b c (Å): 7.344 7.344 7.344
angles (deg): 90.00 90.00 90.00
Space group Fm-3m (No. 225)
Asymmetric unit:
Cs1 0.000 0.000 0.000 x4
Hf1 0.250 0.250 0.250 x8
Tl1 0.000 0.000 0.500 x4

---

Bottom line: #x, by a margin of 96 meV per atom.

---

#w
Here is crystalline CsHf3V at its relaxed geometry from the Alexandria database. Energies are from PBE.

Values from the calculation:
crystal system = cubic

a b c (Å): 5.144 5.144 5.144
angles (deg): 90.00 90.00 90.00
Space group Pm-3m (No. 221)
Asymmetric unit:
Cs1 0.000 0.000 0.000 x1
Hf1 0.000 0.500 0.500 x3
V1 0.500 0.500 0.500 x1

---

#x
Here is crystalline CsHf3V at its relaxed geometry from the Alexandria database. Energies are from PBE.

Values from the calculation:
crystal system = cubic

a b c (Å): 5.204 5.204 5.204
angles (deg): 90.00 90.00 90.00
Space group Pm-3m (No. 221)
Asymmetric unit:
Cs1 0.000 0.000 0.000 x1
Hf1 0.000 0.000 0.500 x3
V1 0.500 0.500 0.500 x1

---

Bottom line: #w, by a margin of 1384 meV per atom.

---

#w
Here is crystalline CsHf2V at its relaxed geometry from the Alexandria database. Energies are from PBE.

Values from the calculation:
crystal system = cubic

a b c (Å): 7.159 7.159 7.159
angles (deg): 90.00 90.00 90.00
Space group Fm-3m (No. 225)
Asymmetric unit:
Cs1 0.000 0.000 0.000 x4
Hf1 0.250 0.250 0.250 x8
V1 0.000 0.000 0.500 x4

---

#x
Here is crystalline CsHf2V at its relaxed geometry from the Alexandria database. Energies are from PBE.

Values from the calculation:
crystal system = cubic

a b c (Å): 10.805 10.805 10.805
angles (deg): 90.00 90.00 90.00
Space group Fd-3m (No. 227, origin choice 2)
Asymmetric unit:
Cs1 0.125 0.125 0.125 x8
Hf1 0.000 0.000 0.500 x16
V1 0.125 0.125 0.625 x8

---

Bottom line: #x, by a margin of 20 meV per atom.

---

#w
Here is crystalline CsHfV3 at its relaxed geometry from the Alexandria database. Energies are from PBE.

Values from the calculation:
crystal system = cubic

a b c (Å): 4.998 4.998 4.998
angles (deg): 90.00 90.00 90.00
Space group Pm-3m (No. 221)
Asymmetric unit:
Cs1 0.000 0.000 0.000 x1
Hf1 0.500 0.500 0.500 x1
V1 0.000 0.500 0.500 x3

---

#x
Here is crystalline CsHfV3 at its relaxed geometry from the Alexandria database. Energies are from PBE.

Values from the calculation:
crystal system = cubic

a b c (Å): 4.737 4.737 4.737
angles (deg): 90.00 90.00 90.00
Space group Pm-3m (No. 221)
Asymmetric unit:
Cs1 0.000 0.000 0.000 x1
Hf1 0.500 0.500 0.500 x1
V1 0.000 0.000 0.500 x3

---

Bottom line: #w, by a margin of 495 meV per atom.

---

#w
Here is crystalline CsHfW3 at its relaxed geometry from the Alexandria database. Energies are from PBE.

Values from the calculation:
crystal system = cubic

a b c (Å): 4.894 4.894 4.894
angles (deg): 90.00 90.00 90.00
Space group Pm-3m (No. 221)
Asymmetric unit:
Cs1 0.000 0.000 0.000 x1
Hf1 0.500 0.500 0.500 x1
W1 0.000 0.000 0.500 x3

---

#x
Here is crystalline CsHfW3 at its relaxed geometry from the Alexandria database. Energies are from PBE.

Values from the calculation:
crystal system = cubic

a b c (Å): 5.082 5.082 5.082
angles (deg): 90.00 90.00 90.00
Space group Pm-3m (No. 221)
Asymmetric unit:
Cs1 0.000 0.000 0.000 x1
Hf1 0.500 0.500 0.500 x1
W1 0.000 0.500 0.500 x3

---

Bottom line: #x, by a margin of 780 meV per atom.

---

#w
Here is crystalline CsHf2W at its relaxed geometry from the Alexandria database. Energies are from PBE.

Values from the calculation:
crystal system = cubic

a b c (Å): 7.144 7.144 7.144
angles (deg): 90.00 90.00 90.00
Space group Fm-3m (No. 225)
Asymmetric unit:
Cs1 0.000 0.000 0.000 x4
Hf1 0.250 0.250 0.250 x8
W1 0.000 0.000 0.500 x4

---

#x
Here is crystalline CsHf2W at its relaxed geometry from the Alexandria database. Energies are from PBE.

Values from the calculation:
crystal system = tetragonal

a b c (Å): 7.995 7.995 11.462
angles (deg): 90.00 90.00 90.00
Space group I4_1/amd (No. 141, origin choice 2)
Asymmetric unit:
Cs1 0.000 0.250 0.375 x4
Hf1 0.000 0.000 0.000 x8
W1 0.000 0.250 0.875 x4

---

Bottom line: #w, by a margin of 188 meV per atom.